! BaV2HgO, relaxed, DFT PBE+U; values from VASP
&SYSTEM
  ibrav = 0, nat = 5, ntyp = 4
/
ATOMIC_SPECIES
V 50.94 V.upf
Hg 200.59 Hg.upf
O 16.00 O.upf
Ba 137.33 Ba.upf
ATOMIC_POSITIONS crystal
V 0.500 0.000 0.000
V 0.000 0.500 0.000
Hg 0.000 0.000 0.000
O 0.500 0.500 0.500
Ba 0.000 0.000 0.500
CELL_PARAMETERS angstrom
5.111 0.000 0.000
0.000 5.111 0.000
0.000 0.000 6.822
! **Electronic total energy**: -16.57 eV for the cell shown
! **Space group**: P4/mmm, No. 123
! **Theoretical density**: 4.25 Mg/m³